SiTc: optimized geometry, PBE.

Calculated values
The volume is 15.4 Å³ per atom. The energy above the lowest structure with this stoichiometry comes out at 0.5013 eV/atom. The uncorrected formation energy is -0.020 eV per atom.

Geometry as CIF:
```
data_SiTc
_space_group_name_H-M_alt 'R -3 m'
_space_group_IT_number 166
_space_group_name_Hall '-R 3 2"'
_cell_length_a 4.1386
_cell_length_b 4.1386
_cell_length_c 12.4703
_cell_angle_alpha 90.00
_cell_angle_beta 90.00
_cell_angle_gamma 120.00
loop_
_atom_site_label
_atom_site_type_symbol
_atom_site_fract_x
_atom_site_fract_y
_atom_site_fract_z
Si1 Si 0.0000 0.0000 0.1118
Tc1 Tc 0.0000 0.0000 0.3087
```